! Cs3TlW2O8 PBE with a Hubbard U optimized geometry; values from VASP
! Density, g/cm³: 5.40
! Crystal system: trigonal
! E, eV per atom: -6.131
&SYSTEM
  ibrav = 0, nat = 14, ntyp = 4
/
ATOMIC_SPECIES
Cs 132.91 Cs.upf
Tl 204.38 Tl.upf
W 183.84 W.upf
O 16.00 O.upf
CELL_PARAMETERS angstrom
6.725 0.000 0.000
-3.363 5.824 0.000
0.000 0.000 8.625
ATOMIC_POSITIONS crystal
Cs 0.000 0.000 0.000
Cs 0.333 0.667 0.671
Cs 0.667 0.333 0.329
Tl 0.000 0.000 0.500
W 0.333 0.667 0.213
W 0.667 0.333 0.787
O 0.186 0.373 0.287
O 0.186 0.814 0.287
O 0.333 0.667 0.004
O 0.373 0.186 0.713
O 0.627 0.814 0.287
O 0.667 0.333 0.996
O 0.814 0.186 0.713
O 0.814 0.627 0.713